# 1
Entry from Alexandria via LeMat-Bulk: an optimized crystal structure of Cd2ReP (PBE-GGA).

CIF file:
```
data_Cd2ReP
_chemical_formula_sum 'Cd2 Re1 P1'
_cell_length_a 3.115
_cell_length_b 3.115
_cell_length_c 7.449
_cell_angle_alpha 90.00
_cell_angle_beta 90.00
_cell_angle_gamma 90.00
_symmetry_space_group_name_H-M 'P 4 m m'
_symmetry_Int_Tables_number 99
loop_
_symmetry_equiv_pos_as_xyz
'x,y,z'
'-y,x,z'
'-x,-y,z'
'y,-x,z'
'-x,y,z'
'y,x,z'
'x,-y,z'
'-y,-x,z'
loop_
_atom_site_label
_atom_site_fract_x
_atom_site_fract_y
_atom_site_fract_z
Cd1 0.000 0.000 0.000
Cd2 0.500 0.500 0.306
Re1 0.500 0.500 0.719
P1 0.000 0.000 0.588
```

Output
total energy	-4.828	eV per atom
energy relative to the elements	0.094	eV per atom

# 2
Entry from Alexandria via LeMat-Bulk: an optimized crystal structure of CdAsRuBr2 (PBE-GGA).

CIF file:
```
data_CdAsRuBr2
_chemical_formula_sum 'Cd1 As1 Ru1 Br2'
_cell_length_a 5.252
_cell_length_b 5.252
_cell_length_c 4.679
_cell_angle_alpha 90.00
_cell_angle_beta 90.00
_cell_angle_gamma 90.00
_symmetry_space_group_name_H-M 'P 4/m m m'
_symmetry_Int_Tables_number 123
_symmetry_space_group_name_Hall '-P 4 2'
loop_
_atom_site_label
_atom_site_fract_x
_atom_site_fract_y
_atom_site_fract_z
Cd1 0.000 0.000 0.000
As1 0.500 0.500 0.000
Ru1 0.500 0.500 0.500
Br1 0.000 0.500 0.500
```

Output
E_form (uncorrected)	0.2075	eV per atom
total energy	-3.430	eV per atom
E above lowest polymorph	0	meV per atom

# 3
Entry from Alexandria via LeMat-Bulk: an optimized crystal structure of CdCu2Ru (PBE-GGA).

CIF file:
```
data_CdCu2Ru
_chemical_formula_sum 'Cd2 Cu4 Ru2'
_cell_length_a 4.260
_cell_length_b 2.652
_cell_length_c 10.292
_cell_angle_alpha 90.00
_cell_angle_beta 90.00
_cell_angle_gamma 90.00
_symmetry_space_group_name_H-M 'A m m 2'
_symmetry_Int_Tables_number 38
loop_
_symmetry_equiv_pos_as_xyz
'x,y,z'
'-x,-y,z'
'-x,y,z'
'x,-y,z'
'x,y+1/2,z+1/2'
'-x,-y+1/2,z+1/2'
'-x,y+1/2,z+1/2'
'x,-y+1/2,z+1/2'
loop_
_atom_site_label
_atom_site_fract_x
_atom_site_fract_y
_atom_site_fract_z
Cd1 0.000 0.000 0.000
Cu1 0.000 0.000 0.745
Cu2 0.500 0.000 0.617
Ru1 0.500 0.000 0.346
```

Output
total energy	-4.330	eV per atom
energy relative to the elements	0.266	eV per atom

# 4
Entry from Alexandria via LeMat-Bulk: an optimized crystal structure of ScNbTeI2 (PBE-GGA).

CIF file:
```
data_ScNbTeI2
_chemical_formula_sum 'Sc1 Nb1 Te1 I2'
_cell_length_a 5.634
_cell_length_b 5.634
_cell_length_c 5.524
_cell_angle_alpha 90.00
_cell_angle_beta 90.00
_cell_angle_gamma 90.00
_symmetry_space_group_name_H-M 'P 4/m m m'
_symmetry_Int_Tables_number 123
_symmetry_space_group_name_Hall '-P 4 2'
loop_
_atom_site_label
_atom_site_fract_x
_atom_site_fract_y
_atom_site_fract_z
Sc1 0.000 0.000 0.000
Nb1 0.500 0.500 0.500
Te1 0.500 0.500 0.000
I1 0.000 0.500 0.500
```

Output
E_form (uncorrected)	0.2607	eV per atom
total energy	-4.268	eV per atom
E above lowest polymorph	0	meV per atom

# 5
Entry from Alexandria via LeMat-Bulk: an optimized crystal structure of Rb2Ti2O (PBE-GGA).

CIF file:
```
data_Rb2Ti2O
_chemical_formula_sum 'Rb4 Ti4 O2'
_cell_length_a 3.552
_cell_length_b 3.552
_cell_length_c 22.191
_cell_angle_alpha 90.00
_cell_angle_beta 90.00
_cell_angle_gamma 90.00
_symmetry_space_group_name_H-M 'I 4/m m m'
_symmetry_Int_Tables_number 139
_symmetry_space_group_name_Hall '-I 4 2'
loop_
_atom_site_label
_atom_site_fract_x
_atom_site_fract_y
_atom_site_fract_z
Rb1 0.000 0.000 0.071
Ti1 0.000 0.500 0.250
O1 0.000 0.000 0.500
```

Output
E_form (uncorrected)	0.2224	eV per atom
total energy	-4.314	eV per atom
E above lowest polymorph	0	meV per atom

# 6
Entry from Alexandria via LeMat-Bulk: an optimized crystal structure of RbSrCd3 (PBE-GGA).

CIF file:
```
data_RbSrCd3
_chemical_formula_sum 'Rb1 Sr1 Cd3'
_cell_length_a 6.416
_cell_length_b 6.416
_cell_length_c 6.416
_cell_angle_alpha 90.00
_cell_angle_beta 90.00
_cell_angle_gamma 90.00
_symmetry_space_group_name_H-M 'P m -3 m'
_symmetry_Int_Tables_number 221
_symmetry_space_group_name_Hall '-P 4 2 3'
loop_
_atom_site_label
_atom_site_fract_x
_atom_site_fract_y
_atom_site_fract_z
Rb1 0.000 0.000 0.000
Sr1 0.500 0.500 0.500
Cd1 0.000 0.500 0.500
```

Output
total energy	-0.855	eV per atom
E above lowest polymorph	0	meV per atom
energy relative to the elements	0.224	eV per atom

# 7
Entry from Alexandria via LeMat-Bulk: an optimized crystal structure of Te2WBr (PBE-GGA).

CIF file:
```
data_Te2WBr
_chemical_formula_sum 'Te4 W2 Br2'
_cell_length_a 5.833
_cell_length_b 9.291
_cell_length_c 3.483
_cell_angle_alpha 90.00
_cell_angle_beta 90.00
_cell_angle_gamma 90.00
_symmetry_space_group_name_H-M 'C m m m'
_symmetry_Int_Tables_number 65
_symmetry_space_group_name_Hall '-C 2 2'
loop_
_atom_site_label
_atom_site_fract_x
_atom_site_fract_y
_atom_site_fract_z
Te1 0.250 0.250 0.000
W1 0.000 0.000 0.500
Br1 0.000 0.500 0.500
```

Output
E_form (uncorrected)	1.0345	eV per atom
total energy	-4.193	eV per atom
E above lowest polymorph	964	meV per atom

# 8
Entry from Alexandria via LeMat-Bulk: an optimized crystal structure of Y2CoAg2 (PBE-GGA).

CIF file:
```
data_Y2CoAg2
_chemical_formula_sum 'Y4 Co2 Ag4'
_cell_length_a 3.684
_cell_length_b 3.684
_cell_length_c 16.857
_cell_angle_alpha 90.00
_cell_angle_beta 90.00
_cell_angle_gamma 90.00
_symmetry_space_group_name_H-M 'I 4/m m m'
_symmetry_Int_Tables_number 139
_symmetry_space_group_name_Hall '-I 4 2'
loop_
_atom_site_label
_atom_site_fract_x
_atom_site_fract_y
_atom_site_fract_z
Y1 0.000 0.000 0.094
Co1 0.000 0.000 0.500
Ag1 0.000 0.500 0.250
```

Output
total energy	-5.086	eV per atom
E above lowest polymorph	11	meV per atom
energy relative to the elements	0.061	eV per atom

# 9
Entry from Alexandria via LeMat-Bulk: an optimized crystal structure of Pu2CoSi (PBE-GGA).

CIF file:
```
data_Pu2CoSi
_chemical_formula_sum 'Pu2 Co1 Si1'
_cell_length_a 3.508
_cell_length_b 3.508
_cell_length_c 4.741
_cell_angle_alpha 90.00
_cell_angle_beta 90.00
_cell_angle_gamma 90.00
_symmetry_space_group_name_H-M 'P 4/m m m'
_symmetry_Int_Tables_number 123
_symmetry_space_group_name_Hall '-P 4 2'
loop_
_atom_site_label
_atom_site_fract_x
_atom_site_fract_y
_atom_site_fract_z
Pu1 0.000 0.500 0.000
Co1 0.000 0.000 0.500
Si1 0.500 0.500 0.500
```

Output
E_form (uncorrected)	-0.0270	eV per atom
total energy	-10.325	eV per atom

# 10
Entry from Alexandria via LeMat-Bulk: an optimized crystal structure of LaEr5Bi6 (PBE-GGA).

CIF file:
```
data_LaEr5Bi6
_chemical_formula_sum 'La2 Er10 Bi12'
_cell_length_a 7.784
_cell_length_b 13.484
_cell_length_c 7.785
_cell_angle_alpha 90.00
_cell_angle_beta 109.54
_cell_angle_gamma 90.00
_symmetry_space_group_name_H-M 'C 1 2/m 1'
_symmetry_Int_Tables_number 12
loop_
_symmetry_equiv_pos_as_xyz
'x,y,z'
'-x,-y,-z'
'-x,y,-z'
'x,-y,z'
'x+1/2,y+1/2,z'
'-x+1/2,-y+1/2,-z'
'-x+1/2,y+1/2,-z'
'x+1/2,-y+1/2,z'
loop_
_atom_site_label
_atom_site_fract_x
_atom_site_fract_y
_atom_site_fract_z
La1 0.000 0.000 0.000
Er1 0.000 0.163 0.500
Er2 0.000 0.332 0.000
Er3 0.000 0.500 0.500
Bi1 0.242 0.500 0.252
Bi2 0.243 0.329 0.744
```

Output
total energy	-5.099	eV per atom
energy relative to the elements	-0.846	eV per atom

# 11
Entry from Alexandria via LeMat-Bulk: an optimized crystal structure of Sr3AcMg4 (PBE-GGA).

CIF file:
```
data_Sr3AcMg4
_chemical_formula_sum 'Sr3 Ac1 Mg4'
_cell_length_a 4.187
_cell_length_b 4.187
_cell_length_c 16.487
_cell_angle_alpha 90.00
_cell_angle_beta 90.00
_cell_angle_gamma 90.00
_symmetry_space_group_name_H-M 'P 4/m m m'
_symmetry_Int_Tables_number 123
_symmetry_space_group_name_Hall '-P 4 2'
loop_
_atom_site_label
_atom_site_fract_x
_atom_site_fract_y
_atom_site_fract_z
Sr1 0.000 0.000 0.000
Sr2 0.000 0.000 0.252
Ac1 0.000 0.000 0.500
Mg1 0.500 0.500 0.126
Mg2 0.500 0.500 0.379
```

Output
total energy	-2.002	eV per atom
energy relative to the elements	-0.061	eV per atom

# 12
Entry from Alexandria via LeMat-Bulk: an optimized crystal structure of CoAs2I (PBE-GGA).

CIF file:
```
data_CoAs2I
_chemical_formula_sum 'Co4 As8 I4'
_cell_length_a 6.257
_cell_length_b 6.257
_cell_length_c 10.681
_cell_angle_alpha 90.00
_cell_angle_beta 90.00
_cell_angle_gamma 90.00
_symmetry_space_group_name_H-M 'I -4 2 d'
_symmetry_Int_Tables_number 122
_symmetry_space_group_name_Hall 'I -4 2bw'
loop_
_atom_site_label
_atom_site_fract_x
_atom_site_fract_y
_atom_site_fract_z
Co1 0.000 0.000 0.000
As1 0.120 0.250 0.125
I1 0.000 0.000 0.500
```

Output
E_form (uncorrected)	0.1663	eV per atom
total energy	-4.323	eV per atom
E above lowest polymorph	0	meV per atom